Record 1
# Rb2Ta2Os

A relaxed Rb2Ta2Os crystal (GGA-PBE, Alexandria via LeMat-Bulk).

Geometry as extended XYZ:
```
10
Lattice="9.656 0.000 0.000 0.000 9.656 0.000 0.000 0.000 2.744" Properties=species:S:1:pos:R:3 pbc="T T T"
Rb 1.056 3.772 0.000
Rb 3.772 8.600 0.000
Rb 5.884 1.056 0.000
Rb 8.600 5.884 0.000
Ta 1.918 6.746 1.372
Ta 2.910 1.918 1.372
Ta 6.746 7.738 1.372
Ta 7.738 2.910 1.372
Os 0.000 0.000 0.000
Os 4.828 4.828 0.000
```

Space group   P4/mbm (127)
Offset from the most stable computed form   979 meV per atom
Crystal system   tetragonal



Record 2
# RbTaOs2

A relaxed RbTaOs2 crystal (GGA-PBE, Alexandria via LeMat-Bulk).

Geometry as extended XYZ:
```
16
Lattice="5.075 0.000 0.000 0.000 5.075 0.000 0.000 0.000 17.441" Properties=species:S:1:pos:R:3 pbc="T T T"
Rb 0.000 0.000 0.000
Rb 0.000 2.538 4.360
Rb 2.538 0.000 13.081
Rb 2.538 2.538 8.720
Ta 0.000 0.000 8.720
Ta 0.000 2.538 13.081
Ta 2.538 0.000 4.360
Ta 2.538 2.538 0.000
Os 0.122 1.269 10.901
Os 1.269 2.660 15.261
Os 1.269 4.953 6.540
Os 2.415 1.269 2.180
Os 2.660 3.806 2.180
Os 3.806 0.122 6.540
Os 3.806 2.415 15.261
Os 4.953 3.806 10.901
```

Space group   I-42d (122)
Offset from the most stable computed form   9 meV per atom
Crystal system   tetragonal



Record 3
# RbTaOs2

A relaxed RbTaOs2 crystal (GGA-PBE, Alexandria via LeMat-Bulk).

Geometry as extended XYZ:
```
16
Lattice="6.647 0.000 0.000 0.000 6.647 0.000 0.000 0.000 6.647" Properties=species:S:1:pos:R:3 pbc="T T T"
Rb 0.000 0.000 0.000
Rb 0.000 3.323 3.323
Rb 3.323 0.000 3.323
Rb 3.323 3.323 0.000
Ta 0.000 0.000 3.323
Ta 0.000 3.323 0.000
Ta 3.323 0.000 0.000
Ta 3.323 3.323 3.323
Os 1.662 1.662 1.662
Os 1.662 1.662 4.985
Os 1.662 4.985 1.662
Os 1.662 4.985 4.985
Os 4.985 1.662 1.662
Os 4.985 1.662 4.985
Os 4.985 4.985 1.662
Os 4.985 4.985 4.985
```

Space group   Fm-3m (225)
Offset from the most stable computed form   0 meV per atom
Crystal system   cubic



Record 4
# Rb2TaVOs

A relaxed Rb2TaVOs crystal (GGA-PBE, Alexandria via LeMat-Bulk).

Geometry as extended XYZ:
```
5
Lattice="6.751 0.000 0.000 0.000 6.751 0.000 0.000 0.000 4.496" Properties=species:S:1:pos:R:3 pbc="T T T"
Rb 0.000 3.376 0.000
Rb 3.376 0.000 0.000
Ta 0.000 0.000 0.000
V 0.000 0.000 2.248
Os 3.376 3.376 2.248
```

Space group   P4/mmm (123)
Crystal system   tetragonal



Record 5
# RbTcOs3

A relaxed RbTcOs3 crystal (GGA-PBE, Alexandria via LeMat-Bulk).

Geometry as extended XYZ:
```
5
Lattice="4.612 0.000 0.000 0.000 4.612 0.000 0.000 0.000 4.612" Properties=species:S:1:pos:R:3 pbc="T T T"
Rb 0.000 0.000 0.000
Tc 2.306 2.306 2.306
Os 0.000 0.000 2.306
Os 0.000 2.306 0.000
Os 2.306 0.000 0.000
```

Space group   Pm-3m (221)
Offset from the most stable computed form   2183 meV per atom
Crystal system   cubic



Record 6
# RbTcOs3

A relaxed RbTcOs3 crystal (GGA-PBE, Alexandria via LeMat-Bulk).

Geometry as extended XYZ:
```
5
Lattice="4.805 0.000 0.000 0.000 4.805 0.000 0.000 0.000 4.805" Properties=species:S:1:pos:R:3 pbc="T T T"
Rb 0.000 0.000 0.000
Tc 2.403 2.403 2.403
Os 0.000 2.403 2.403
Os 2.403 0.000 2.403
Os 2.403 2.403 0.000
```

Space group   Pm-3m (221)
Offset from the most stable computed form   0 meV per atom
Crystal system   cubic



Record 7
# RbTc3Os

A relaxed RbTc3Os crystal (GGA-PBE, Alexandria via LeMat-Bulk).

Geometry as extended XYZ:
```
5
Lattice="4.536 0.000 0.000 0.000 4.536 0.000 0.000 0.000 4.536" Properties=species:S:1:pos:R:3 pbc="T T T"
Rb 0.000 0.000 0.000
Tc 0.000 0.000 2.268
Tc 0.000 2.268 0.000
Tc 2.268 0.000 0.000
Os 2.268 2.268 2.268
```

Space group   Pm-3m (221)
Offset from the most stable computed form   1896 meV per atom
Crystal system   cubic



Record 8
# RbTc3Os

A relaxed RbTc3Os crystal (GGA-PBE, Alexandria via LeMat-Bulk).

Geometry as extended XYZ:
```
5
Lattice="4.865 0.000 0.000 0.000 4.865 0.000 0.000 0.000 4.865" Properties=species:S:1:pos:R:3 pbc="T T T"
Rb 0.000 0.000 0.000
Tc 0.000 2.432 2.432
Tc 2.432 0.000 2.432
Tc 2.432 2.432 0.000
Os 2.432 2.432 2.432
```

Space group   Pm-3m (221)
Offset from the most stable computed form   0 meV per atom
Crystal system   cubic



Record 9
# RbTc2TeOs

A relaxed RbTc2TeOs crystal (GGA-PBE, Alexandria via LeMat-Bulk).

Geometry as extended XYZ:
```
5
Lattice="5.047 0.000 0.000 0.000 5.047 0.000 0.000 0.000 4.967" Properties=species:S:1:pos:R:3 pbc="T T T"
Rb 0.000 0.000 0.000
Tc 0.000 2.523 2.483
Tc 2.523 0.000 2.483
Te 2.523 2.523 2.483
Os 2.523 2.523 0.000
```

Space group   P4/mmm (123)
Formation energy without anion corrections   1879 meV per atom
Crystal system   tetragonal



Record 10
# RbZrTc2Os

A relaxed RbZrTc2Os crystal (GGA-PBE, Alexandria via LeMat-Bulk).

Geometry as extended XYZ:
```
5
Lattice="4.547 0.000 0.000 0.000 4.547 0.000 0.000 0.000 4.825" Properties=species:S:1:pos:R:3 pbc="T T T"
Rb 0.000 0.000 0.000
Zr 0.000 0.000 2.412
Tc 0.000 2.273 0.000
Tc 2.273 0.000 0.000
Os 2.273 2.273 2.412
```

Space group   P4/mmm (123)
Crystal system   tetragonal



Record 11
# RbV2TeOs

A relaxed RbV2TeOs crystal (GGA-PBE, Alexandria via LeMat-Bulk).

Geometry as extended XYZ:
```
5
Lattice="4.679 0.000 0.000 0.000 4.679 0.000 0.000 0.000 6.129" Properties=species:S:1:pos:R:3 pbc="T T T"
Rb 0.000 0.000 0.000
V 0.000 2.339 3.065
V 2.339 0.000 3.065
Te 2.339 2.339 0.000
Os 0.000 0.000 3.065
```

Space group   P4/mmm (123)
Formation energy without anion corrections   1194 meV per atom
Crystal system   tetragonal



Record 12
# Rb3TiOs

A relaxed Rb3TiOs crystal (GGA-PBE, Alexandria via LeMat-Bulk).

Geometry as extended XYZ:
```
5
Lattice="6.312 0.000 0.000 0.000 6.312 0.000 0.000 0.000 6.312" Properties=species:S:1:pos:R:3 pbc="T T T"
Rb 0.000 0.000 3.156
Rb 0.000 3.156 0.000
Rb 3.156 0.000 0.000
Ti 3.156 3.156 3.156
Os 0.000 0.000 0.000
```

Space group   Pm-3m (221)
Crystal system   cubic



Number 1: size of the total moment 0.000 μB per atom, VASP energy -0.33402 Ry per atom. Number 2: size of the total moment 0.000 μB per atom, VASP energy -0.53483 Ry per atom. Number 3: size of the total moment 0.000 μB per atom, VASP energy -0.53548 Ry per atom. Number 4: size of the total moment 0.897 μB per atom, VASP energy -0.30333 Ry per atom. Number 5: size of the total moment 0.005 μB per atom, VASP energy -0.34478 Ry per atom. Number 6: size of the total moment 0.113 μB per atom, VASP energy -0.50522 Ry per atom. Number 7: size of the total moment 0.000 μB per atom, VASP energy -0.36986 Ry per atom. Number 8: size of the total moment 0.680 μB per atom, VASP energy -0.50920 Ry per atom. Number 9: size of the total moment 0.689 μB per atom, VASP energy -0.39212 Ry per atom. Number 10: size of the total moment 0.000 μB per atom, VASP energy -0.38384 Ry per atom. Number 11: size of the total moment 0.000 μB per atom, VASP energy -0.40580 Ry per atom. Number 12: size of the total moment 0.510 μB per atom, VASP energy -0.18036 Ry per atom.